1.
First-principles (PBE) data for a geometry-optimized Pr6CuTc2Cl3 structure, as listed in Alexandria.

a = 6.9110 Å, b = 6.9110 Å, c = 8.2182 Å
α = 98.73°, β = 98.73°, γ = 117.61°
Atoms (fractional coordinates):
1 Pr 0.0800 0.4263 0.6999
2 Pr 0.2434 0.2434 0.2614
3 Pr 0.4263 0.0800 0.6999
4 Pr 0.5737 0.9200 0.3001
5 Pr 0.7566 0.7566 0.7386
6 Pr 0.9200 0.5737 0.3001
7 Cu 0.0000 0.0000 0.5000
8 Tc 0.3640 0.6360 0.5000
9 Tc 0.6360 0.3640 0.5000
10 Cl 0.1806 0.8194 0.0000
11 Cl 0.5000 0.5000 0.0000
12 Cl 0.8194 0.1806 0.0000

Output
- space-group type = No. 12
- DFT total energy (eV per atom) = -5.62
- E_form (uncorrected) (eV per atom) = -0.695
- spin magnetization (μB per formula unit) = 0.000

---

2.
First-principles (PBE) data for a geometry-optimized LiRuRh2 structure, as listed in Alexandria.

a = 2.7860 Å, b = 4.3865 Å, c = 4.4893 Å
α = 90.00°, β = 90.00°, γ = 90.00°
Atoms (fractional coordinates):
1 Li 0.0000 0.0000 0.0000
2 Ru 0.5000 0.0000 0.5000
3 Rh 0.0000 0.5000 0.5000
4 Rh 0.5000 0.5000 0.0000

Output
- space-group type = No. 47
- DFT total energy (eV per atom) = -6.29
- ΔH_f (0 K) (eV/atom) = 0.1821
- ΔE to the lowest computed polymorph (kcal/mol of atoms) = 4.49
- spin magnetization (μB per formula unit) = 0.499

---

3.
First-principles (PBE) data for a geometry-optimized LiInHgRu structure, as listed in Alexandria.

a = 6.5210 Å, b = 6.5210 Å, c = 6.5210 Å
α = 90.00°, β = 90.00°, γ = 90.00°
Atoms (fractional coordinates):
1 Li 0.0000 0.0000 0.0000
2 Li 0.0000 0.5000 0.5000
3 Li 0.5000 0.0000 0.5000
4 Li 0.5000 0.5000 0.0000
5 In 0.2500 0.2500 0.7500
6 In 0.2500 0.7500 0.2500
7 In 0.7500 0.2500 0.2500
8 In 0.7500 0.7500 0.7500
9 Hg 0.2500 0.2500 0.2500
10 Hg 0.2500 0.7500 0.7500
11 Hg 0.7500 0.2500 0.7500
12 Hg 0.7500 0.7500 0.2500
13 Ru 0.0000 0.0000 0.5000
14 Ru 0.0000 0.5000 0.0000
15 Ru 0.5000 0.0000 0.0000
16 Ru 0.5000 0.5000 0.5000

Output
- space-group type = No. 216
- DFT total energy (eV per atom) = -3.57
- ΔH_f (0 K) (eV/atom) = -0.0132
- spin magnetization (μB per formula unit) = 0.000

---

4.
First-principles (PBE) data for a geometry-optimized CsK3Cr structure, as listed in Alexandria.

a = 7.7434 Å, b = 7.7434 Å, c = 7.7434 Å
α = 90.00°, β = 90.00°, γ = 90.00°
Atoms (fractional coordinates):
1 Cs 0.0000 0.0000 0.0000
2 K 0.0000 0.0000 0.5000
3 K 0.0000 0.5000 0.0000
4 K 0.5000 0.0000 0.0000
5 Cr 0.5000 0.5000 0.5000

Output
- space-group type = No. 221
- DFT total energy (eV per atom) = -1.72
- ΔH_f (0 K) (eV/atom) = 1.0323
- ΔE to the lowest computed polymorph (kcal/mol of atoms) = 10.53
- spin magnetization (μB per formula unit) = 5.092

---

5.
First-principles (PBE) data for a geometry-optimized RbBiOsO6 structure, as listed in Alexandria.

a = 5.6923 Å, b = 5.6923 Å, c = 6.1435 Å
α = 90.00°, β = 90.00°, γ = 120.00°
Atoms (fractional coordinates):
1 Rb 0.0000 0.0000 0.0000
2 Bi 0.3333 0.6667 0.5000
3 Os 0.6667 0.3333 0.5000
4 O 0.4093 0.0510 0.6790
5 O 0.4093 0.3583 0.3210
6 O 0.6417 0.0510 0.3210
7 O 0.6417 0.5907 0.6790
8 O 0.9490 0.3583 0.6790
9 O 0.9490 0.5907 0.3210

Output
- space-group type = No. 149
- DFT total energy (eV per atom) = -6.26
- E_form (uncorrected) (eV per atom) = -1.166
- spin magnetization (μB per formula unit) = 0.000

---

6.
First-principles (PBE) data for a geometry-optimized NdDy3Er3 structure, as listed in Alexandria.

a = 6.2893 Å, b = 6.2893 Å, c = 6.2893 Å
α = 102.66°, β = 102.66°, γ = 102.66°
Atoms (fractional coordinates):
1 Nd 0.0000 0.0000 0.0000
2 Dy 0.5866 0.5866 0.9410
3 Dy 0.5866 0.9410 0.5866
4 Dy 0.9410 0.5866 0.5866
5 Er 0.1448 0.1448 0.5466
6 Er 0.1448 0.5466 0.1448
7 Er 0.5466 0.1448 0.1448

Output
- space-group type = No. 160
- DFT total energy (eV per atom) = -4.36
- ΔH_f (0 K) (eV/atom) = 0.2491
- ΔE to the lowest computed polymorph (kcal/mol of atoms) = 0.37
- spin magnetization (μB per formula unit) = 0.000

---

7.
First-principles (PBE) data for a geometry-optimized KPrInTe3 structure, as listed in Alexandria.

a = 9.6978 Å, b = 4.6789 Å, c = 12.8472 Å
α = 90.00°, β = 109.46°, γ = 90.00°
Atoms (fractional coordinates):
1 K 0.1905 0.2500 0.1611
2 K 0.8095 0.7500 0.8389
3 Pr 0.3320 0.7500 0.8724
4 Pr 0.6680 0.2500 0.1276
5 In 0.0479 0.2500 0.6184
6 In 0.9521 0.7500 0.3816
7 Te 0.0938 0.2500 0.8588
8 Te 0.2303 0.7500 0.6010
9 Te 0.4462 0.7500 0.1350
10 Te 0.5538 0.2500 0.8650
11 Te 0.7697 0.2500 0.3990
12 Te 0.9062 0.7500 0.1412

Output
- space-group type = No. 11
- DFT total energy (eV per atom) = -3.95
- E_form (uncorrected) (eV per atom) = -0.941
- spin magnetization (μB per formula unit) = 0.000

---

8.
First-principles (PBE) data for a geometry-optimized Pm3GaCu4 structure, as listed in Alexandria.

a = 4.6033 Å, b = 4.7798 Å, c = 16.4811 Å
α = 90.00°, β = 90.00°, γ = 90.00°
Atoms (fractional coordinates):
1 Pm 0.0000 0.0000 0.0000
2 Pm 0.0000 0.5000 0.2050
3 Pm 0.0000 0.5000 0.7950
4 Pm 0.5000 0.0000 0.2950
5 Pm 0.5000 0.0000 0.7050
6 Pm 0.5000 0.5000 0.5000
7 Ga 0.0000 0.0000 0.5000
8 Ga 0.5000 0.5000 0.0000
9 Cu 0.0000 0.2566 0.3732
10 Cu 0.0000 0.2566 0.6268
11 Cu 0.0000 0.7434 0.3732
12 Cu 0.0000 0.7434 0.6268
13 Cu 0.5000 0.2434 0.1268
14 Cu 0.5000 0.2434 0.8732
15 Cu 0.5000 0.7566 0.1268
16 Cu 0.5000 0.7566 0.8732

Output
- space-group type = No. 71
- DFT total energy (eV per atom) = -4.30
- ΔH_f (0 K) (eV/atom) = -0.0874
- spin magnetization (μB per formula unit) = 0.000

---

9.
First-principles (PBE) data for a geometry-optimized In2Hg2Au structure, as listed in Alexandria.

a = 7.3526 Å, b = 7.3526 Å, c = 4.8242 Å
α = 90.00°, β = 90.00°, γ = 90.00°
Atoms (fractional coordinates):
1 In 0.1516 0.3484 0.0000
2 In 0.3484 0.8484 0.0000
3 In 0.6516 0.1516 0.0000
4 In 0.8484 0.6516 0.0000
5 Hg 0.1630 0.6630 0.5000
6 Hg 0.3370 0.1630 0.5000
7 Hg 0.6630 0.8370 0.5000
8 Hg 0.8370 0.3370 0.5000
9 Au 0.0000 0.0000 0.0000
10 Au 0.5000 0.5000 0.0000

Output
- space-group type = No. 127
- DFT total energy (eV per atom) = -1.88
- ΔH_f (0 K) (eV/atom) = -0.0062
- ΔE to the lowest computed polymorph (kcal/mol of atoms) = 0.00
- spin magnetization (μB per formula unit) = 0.000

---

10.
First-principles (PBE) data for a geometry-optimized TaNbFeB2 structure, as listed in Alexandria.

a = 4.1914 Å, b = 4.1914 Å, c = 4.9174 Å
α = 90.00°, β = 90.00°, γ = 90.00°
Atoms (fractional coordinates):
1 Ta 0.0000 0.0000 0.0000
2 Nb 0.0000 0.0000 0.5000
3 Fe 0.5000 0.5000 0.5000
4 B 0.0000 0.5000 0.0000
5 B 0.5000 0.0000 0.0000

Output
- space-group type = No. 123
- DFT total energy (eV per atom) = -6.74
- ΔH_f (0 K) (eV/atom) = 2.0033
- spin magnetization (μB per formula unit) = 0.145

---

11.
First-principles (PBE) data for a geometry-optimized MgRhCl structure, as listed in Alexandria.

a = 4.2653 Å, b = 4.2653 Å, c = 3.1936 Å
α = 90.00°, β = 90.00°, γ = 120.00°
Atoms (fractional coordinates):
1 Mg 0.0000 0.0000 0.0000
2 Rh 0.3333 0.6667 0.5000
3 Cl 0.6667 0.3333 0.5000

Output
- space-group type = No. 187
- DFT total energy (eV per atom) = -3.78
- E_form (uncorrected) (eV per atom) = -0.187
- ΔE to the lowest computed polymorph (kcal/mol of atoms) = 12.04
- spin magnetization (μB per formula unit) = 0.000

---

12.
First-principles (PBE) data for a geometry-optimized KBe2Al structure, as listed in Alexandria.

a = 6.9782 Å, b = 4.0298 Å, c = 6.5598 Å
α = 90.00°, β = 110.25°, γ = 90.00°
Atoms (fractional coordinates):
1 K 0.0000 0.0000 0.0000
2 K 0.5000 0.5000 0.0000
3 Be 0.1718 0.0000 0.5156
4 Be 0.3282 0.5000 0.4844
5 Be 0.6718 0.5000 0.5156
6 Be 0.8282 0.0000 0.4844
7 Al 0.0000 0.5000 0.5000
8 Al 0.5000 0.0000 0.5000

Output
- space-group type = No. 12
- DFT total energy (eV per atom) = -2.84
- ΔH_f (0 K) (eV/atom) = 0.2303
- spin magnetization (μB per formula unit) = 0.000

---

13.
First-principles (PBE) data for a geometry-optimized Nd2Tm2Mg15 structure, as listed in Alexandria.

a = 7.9251 Å, b = 7.9251 Å, c = 7.9251 Å
α = 82.92°, β = 82.92°, γ = 82.92°
Atoms (fractional coordinates):
1 Nd 0.1693 0.1693 0.1693
2 Nd 0.8307 0.8307 0.8307
3 Tm 0.3990 0.3990 0.3990
4 Tm 0.6010 0.6010 0.6010
5 Mg 0.0000 0.5000 0.5000
6 Mg 0.1427 0.1427 0.6554
7 Mg 0.1427 0.6554 0.1427
8 Mg 0.2043 0.5000 0.7957
9 Mg 0.2043 0.7957 0.5000
10 Mg 0.3446 0.8573 0.8573
11 Mg 0.5000 0.0000 0.5000
12 Mg 0.5000 0.2043 0.7957
13 Mg 0.5000 0.5000 0.0000
14 Mg 0.5000 0.7957 0.2043
15 Mg 0.6554 0.1427 0.1427
16 Mg 0.7957 0.2043 0.5000
17 Mg 0.7957 0.5000 0.2043
18 Mg 0.8573 0.3446 0.8573
19 Mg 0.8573 0.8573 0.3446

Output
- space-group type = No. 166
- DFT total energy (eV per atom) = -2.24
- ΔH_f (0 K) (eV/atom) = -0.0051
- spin magnetization (μB per formula unit) = 0.000

---

14.
First-principles (PBE) data for a geometry-optimized Ce4GeSb5 structure, as listed in Alexandria.

a = 8.3639 Å, b = 8.3639 Å, c = 8.3639 Å
α = 148.67°, β = 99.61°, γ = 88.79°
Atoms (fractional coordinates):
1 Ce 0.2454 0.2454 0.0000
2 Ce 0.2854 0.0000 0.2854
3 Ce 0.7146 0.0000 0.7146
4 Ce 0.7546 0.7546 0.0000
5 Ge 0.0000 0.0000 0.0000
6 Sb 0.0137 0.3366 0.6771
7 Sb 0.3405 0.6634 0.6771
8 Sb 0.5000 0.5000 0.0000
9 Sb 0.6595 0.3366 0.3229
10 Sb 0.9863 0.6634 0.3229

Output
- space-group type = No. 71
- DFT total energy (eV per atom) = -5.67
- E_form (uncorrected) (eV per atom) = -0.770
- ΔE to the lowest computed polymorph (kcal/mol of atoms) = 0.00
- spin magnetization (μB per formula unit) = 2.534

---

15.
First-principles (PBE) data for a geometry-optimized Li2TcNi structure, as listed in Alexandria.

a = 5.8223 Å, b = 5.8223 Å, c = 5.8223 Å
α = 90.00°, β = 90.00°, γ = 90.00°
Atoms (fractional coordinates):
1 Li 0.2500 0.2500 0.2500
2 Li 0.2500 0.2500 0.7500
3 Li 0.2500 0.7500 0.2500
4 Li 0.2500 0.7500 0.7500
5 Li 0.7500 0.2500 0.2500
6 Li 0.7500 0.2500 0.7500
7 Li 0.7500 0.7500 0.2500
8 Li 0.7500 0.7500 0.7500
9 Tc 0.0000 0.0000 0.0000
10 Tc 0.0000 0.5000 0.5000
11 Tc 0.5000 0.0000 0.5000
12 Tc 0.5000 0.5000 0.0000
13 Ni 0.0000 0.0000 0.5000
14 Ni 0.0000 0.5000 0.0000
15 Ni 0.5000 0.0000 0.0000
16 Ni 0.5000 0.5000 0.5000

Output
- space-group type = No. 225
- DFT total energy (eV per atom) = -4.42
- ΔH_f (0 K) (eV/atom) = 0.5713
- ΔE to the lowest computed polymorph (kcal/mol of atoms) = 11.20
- spin magnetization (μB per formula unit) = 2.319

---

16.
First-principles (PBE) data for a geometry-optimized Ca3SnF6 structure, as listed in Alexandria.

a = 3.4670 Å, b = 7.5906 Å, c = 7.6468 Å
α = 112.80°, β = 90.17°, γ = 90.08°
Atoms (fractional coordinates):
1 Ca 0.0000 0.0000 0.0000
2 Ca 0.0000 0.5000 0.5000
3 Ca 0.5000 0.0000 0.5000
4 Sn 0.0000 0.5000 0.0000
5 F 0.0013 0.0208 0.7064
6 F 0.0025 0.6906 0.8154
7 F 0.4998 0.3171 0.5321
8 F 0.5002 0.6829 0.4679
9 F 0.9975 0.3094 0.1846
10 F 0.9987 0.9792 0.2936

Output
- space-group type = No. 2
- DFT total energy (eV per atom) = -5.28
- E_form (uncorrected) (eV per atom) = -3.159
- ΔE to the lowest computed polymorph (kcal/mol of atoms) = 1.06
- spin magnetization (μB per formula unit) = 0.601

---

17.
First-principles (PBE) data for a geometry-optimized Tm2Th4Sc structure, as listed in Alexandria.

a = 6.4578 Å, b = 6.4578 Å, c = 11.3738 Å
α = 103.70°, β = 103.70°, γ = 95.53°
Atoms (fractional coordinates):
1 Tm 0.0803 0.9197 0.5000
2 Tm 0.2371 0.6856 0.0456
3 Tm 0.6856 0.2371 0.5456
4 Tm 0.9197 0.0803 0.0000
5 Th 0.1032 0.2821 0.7888
6 Th 0.2821 0.1032 0.2888
7 Th 0.4831 0.9418 0.7527
8 Th 0.5147 0.6510 0.3843
9 Th 0.6510 0.5147 0.8843
10 Th 0.7367 0.9529 0.2260
11 Th 0.9418 0.4831 0.2527
12 Th 0.9529 0.7367 0.7260
13 Sc 0.2271 0.4494 0.5526
14 Sc 0.4494 0.2271 0.0526

Output
- space-group type = No. 9
- DFT total energy (eV per atom) = -6.27
- ΔH_f (0 K) (eV/atom) = 0.1567
- spin magnetization (μB per formula unit) = 0.000

---

18.
First-principles (PBE) data for a geometry-optimized MgScMo2Cl structure, as listed in Alexandria.

a = 4.7083 Å, b = 4.7083 Å, c = 5.7686 Å
α = 90.00°, β = 90.00°, γ = 90.00°
Atoms (fractional coordinates):
1 Mg 0.0000 0.0000 0.0000
2 Sc 0.0000 0.0000 0.5000
3 Mo 0.0000 0.5000 0.5000
4 Mo 0.5000 0.0000 0.5000
5 Cl 0.5000 0.5000 0.0000

Output
- space-group type = No. 123
- DFT total energy (eV per atom) = -4.60
- E_form (uncorrected) (eV per atom) = 1.690
- spin magnetization (μB per formula unit) = 2.764

---

19.
First-principles (PBE) data for a geometry-optimized PmEuPdRu structure, as listed in Alexandria.

a = 7.0774 Å, b = 7.0774 Å, c = 7.0774 Å
α = 90.00°, β = 90.00°, γ = 90.00°
Atoms (fractional coordinates):
1 Pm 0.0000 0.0000 0.0000
2 Pm 0.0000 0.5000 0.5000
3 Pm 0.5000 0.0000 0.5000
4 Pm 0.5000 0.5000 0.0000
5 Eu 0.0000 0.0000 0.5000
6 Eu 0.0000 0.5000 0.0000
7 Eu 0.5000 0.0000 0.0000
8 Eu 0.5000 0.5000 0.5000
9 Pd 0.2500 0.2500 0.7500
10 Pd 0.2500 0.7500 0.2500
11 Pd 0.7500 0.2500 0.2500
12 Pd 0.7500 0.7500 0.7500
13 Ru 0.2500 0.2500 0.2500
14 Ru 0.2500 0.7500 0.7500
15 Ru 0.7500 0.2500 0.7500
16 Ru 0.7500 0.7500 0.2500

Output
- space-group type = No. 216
- DFT total energy (eV per atom) = -7.66
- ΔH_f (0 K) (eV/atom) = -0.2861
- spin magnetization (μB per formula unit) = 6.644

---

20.
First-principles (PBE) data for a geometry-optimized Mg2TlTcI structure, as listed in Alexandria.

a = 5.3624 Å, b = 5.3624 Å, c = 5.3162 Å
α = 90.00°, β = 90.00°, γ = 90.00°
Atoms (fractional coordinates):
1 Mg 0.0000 0.5000 0.0000
2 Mg 0.5000 0.0000 0.0000
3 Tl 0.0000 0.0000 0.5000
4 Tc 0.0000 0.0000 0.0000
5 I 0.5000 0.5000 0.5000

Output
- space-group type = No. 123
- DFT total energy (eV per atom) = -2.96
- E_form (uncorrected) (eV per atom) = 0.532
- spin magnetization (μB per formula unit) = 1.911